DFT (PBE-GGA) results for a relaxed GaSi2Pd crystal.

Computed properties:
Calculated total energy (eV per atom): -4.65
Crystal system: cubic
E_form (uncorrected) (eV per atom): 0.11
ΔE to the lowest computed polymorph (meV per atom): 137
SG: Fm-3m (225)

a b c (Å): 4.469 4.469 4.469
angles (deg): 60.00 60.00 60.00
Atoms (fractional coordinates):
Si1 0.750 0.750 0.750
Si2 0.250 0.250 0.250
Pd1 0.500 0.500 0.500
Ga1 0.000 0.000 0.000

---

DFT (PBE-GGA) results for a relaxed Ga6SiPd12 crystal.

Computed properties:
Calculated total energy (eV per atom): -4.97
Crystal system: trigonal
E_form (uncorrected) (eV per atom): -0.45
SG: R-3 (148)

a b c (Å): 7.041 7.041 7.041
angles (deg): 98.47 98.47 98.47
Atoms (fractional coordinates):
Pd1 0.177 0.477 0.618
Pd2 0.968 0.104 0.687
Pd3 0.523 0.382 0.823
Pd4 0.477 0.618 0.177
Pd5 0.382 0.823 0.523
Pd6 0.823 0.523 0.382
Pd7 0.104 0.687 0.968
Pd8 0.032 0.896 0.313
Pd9 0.687 0.968 0.104
Pd10 0.313 0.032 0.896
Pd11 0.896 0.313 0.032
Pd12 0.618 0.177 0.477
Ga1 0.846 0.454 0.720
Ga2 0.546 0.280 0.154
Ga3 0.154 0.546 0.280
Ga4 0.720 0.846 0.454
Ga5 0.280 0.154 0.546
Ga6 0.454 0.720 0.846
Si1 0.000 0.000 0.000